Entry 1:
RbGa3Tc | PBE | optimized geometry

Density   3.65 g/cm³
ΔE to the lowest computed polymorph   2131 meV/atom
Energy   -2.10 eV per atom
ΔE_f   1987.4 meV/atom
DOS(E_F)   0.99 states/eV per atom

Cell and atoms, written as POSCAR:
```
RbGa3Tc
1.0
5.632 0.000 0.000
0.000 5.632 0.000
0.000 0.000 5.632
Rb Ga Tc
1 3 1
Cartesian
0.000 0.000 0.000
0.000 0.000 2.816
0.000 2.816 0.000
2.816 0.000 0.000
2.816 2.816 2.816
```

Entry 2:
ScVSi | PBE | optimized geometry

Density   3.94 g/cm³
Energy   -7.17 eV per atom
Uncorrected formation energy   -209 meV/atom
DOS(E_F)   0.89 states/eV per atom

Cell and atoms, written as POSCAR:
```
ScVSi
1.0
4.264 0.000 0.000
-2.132 3.692 0.000
0.000 0.000 3.316
Sc V Si
1 1 1
Cartesian
0.000 0.000 0.000
2.132 1.231 1.658
0.000 2.462 1.658
```

Entry 3:
Ho4Cd3Tc | PBE | optimized geometry

Density   9.32 g/cm³
Energy   -4.18 eV per atom
ΔE_f   -252.6 meV/atom
DOS(E_F)   1.02 states/eV per atom

Cell and atoms, written as POSCAR:
```
Ho4Cd3Tc
1.0
3.544 0.000 0.000
0.000 3.544 0.000
0.000 0.000 15.534
Ho Cd Tc
4 3 1
Cartesian
0.000 0.000 1.598
0.000 0.000 5.737
0.000 0.000 9.797
0.000 0.000 13.936
1.772 1.772 3.721
1.772 1.772 7.767
1.772 1.772 11.813
1.772 1.772 0.000
```

Entry 4:
Mn2Sb | PBE | optimized geometry

Density   7.04 g/cm³
Energy   -7.04 eV per atom
Uncorrected formation energy   450 meV/atom
DOS(E_F)   0.85 states/eV per atom

Cell and atoms, written as POSCAR:
```
Mn2Sb
1.0
3.121 0.000 0.000
-1.561 2.703 0.000
0.000 0.000 6.472
Mn Sb
2 1
Cartesian
0.000 1.802 2.231
1.561 0.901 4.241
0.000 0.000 0.000
```

Entry 5:
MnGaCoRuS | PBE | optimized geometry

Density   7.67 g/cm³
ΔE to the lowest computed polymorph   97 meV/atom
Energy   -6.68 eV per atom
Uncorrected formation energy   -138 meV/atom
DOS(E_F)   0.66 states/eV per atom

Cell and atoms, written as POSCAR:
```
MnGaCoRuS
1.0
4.145 -1.483 0.000
4.145 1.483 0.000
-0.649 0.000 5.575
Mn Ga Co Ru S
1 1 1 1 1
Cartesian
0.000 0.000 0.000
5.315 0.000 4.391
2.971 0.000 3.653
5.831 0.000 1.664
3.502 0.000 1.578
```

Entry 6:
Ac2Pr2Mg15 | PBE | optimized geometry

Density   3.52 g/cm³
Energy   -2.23 eV per atom
ΔE_f   -35.5 meV/atom
DOS(E_F)   0.88 states/eV per atom

Cell and atoms, written as POSCAR:
```
Ac2Pr2Mg15
1.0
5.374 3.103 5.195
-5.374 3.103 5.195
0.000 -6.205 5.195
Ac Pr Mg
2 2 15
Cartesian
0.000 0.000 2.517
0.000 0.000 13.068
0.000 0.000 6.326
0.000 0.000 9.259
-2.687 -1.551 5.195
0.000 -3.168 4.948
-2.743 1.584 4.948
-1.609 -2.786 7.793
-3.217 0.000 7.793
-2.743 -1.584 10.637
-2.687 1.551 10.390
1.609 -2.786 7.793
0.000 3.103 5.195
-1.609 2.786 7.793
2.743 1.584 4.948
3.217 0.000 7.793
1.609 2.786 7.793
2.743 -1.584 10.637
0.000 3.168 10.637
```

Entry 7:
Ca4DyTl15 | PBE | optimized geometry

Density   9.90 g/cm³
Energy   -2.64 eV per atom
ΔE_f   -238.4 meV/atom
DOS(E_F)   0.49 states/eV per atom

Cell and atoms, written as POSCAR:
```
Ca4DyTl15
1.0
4.836 0.000 0.000
0.000 4.836 0.000
0.000 0.000 24.290
Ca Dy Tl
4 1 15
Cartesian
0.000 0.000 2.467
0.000 0.000 7.394
0.000 0.000 16.896
0.000 0.000 21.823
0.000 0.000 12.145
0.000 2.418 0.000
0.000 2.418 4.911
0.000 2.418 9.785
0.000 2.418 14.504
0.000 2.418 19.379
2.418 0.000 0.000
2.418 0.000 4.911
2.418 0.000 9.785
2.418 0.000 14.504
2.418 0.000 19.379
2.418 2.418 2.474
2.418 2.418 7.324
2.418 2.418 12.145
2.418 2.418 16.965
2.418 2.418 21.816
```

Entry 8:
RbEr2CuTe4 | PBE | optimized geometry

Density   6.41 g/cm³
Energy   -4.46 eV per atom
Uncorrected formation energy   -1115 meV/atom

Cell and atoms, written as POSCAR:
```
RbEr2CuTe4
1.0
2.191 -7.614 0.000
2.191 7.614 0.000
0.000 0.000 15.439
Rb Er Cu Te
2 4 2 8
Cartesian
2.191 5.884 11.579
2.191 -5.884 3.860
2.191 2.033 8.724
2.191 2.033 14.434
2.191 -2.033 1.005
2.191 -2.033 6.715
2.191 5.141 3.860
2.191 -5.141 11.579
0.000 0.000 0.000
0.000 0.000 7.719
2.191 3.603 1.688
2.191 3.603 6.032
2.191 1.028 11.579
2.191 -1.028 3.860
2.191 -3.603 9.407
2.191 -3.603 13.751
```

Entry 9:
HoZrPa | PBE | optimized geometry

Density   10.32 g/cm³
ΔE to the lowest computed polymorph   10 meV/atom
Energy   -7.37 eV per atom
ΔE_f   166.3 meV/atom
DOS(E_F)   1.26 states/eV per atom

Cell and atoms, written as POSCAR:
```
HoZrPa
1.0
5.220 0.000 0.000
-2.610 4.521 0.000
0.000 0.000 3.321
Ho Zr Pa
1 1 1
Cartesian
0.000 0.000 0.000
0.000 3.014 1.660
2.610 1.507 1.660
```

Entry 10:
Mg7Cd3Pb2 | PBE | optimized geometry

Density   4.97 g/cm³
Energy   -1.75 eV per atom
ΔE_f   24.7 meV/atom
DOS(E_F)   0.32 states/eV per atom

Cell and atoms, written as POSCAR:
```
Mg7Cd3Pb2
1.0
2.670 -11.383 0.000
2.670 11.383 0.000
0.000 0.000 5.064
Mg Cd Pb
7 3 2
Cartesian
0.000 0.000 0.000
2.670 9.699 2.532
2.670 4.906 0.000
2.670 1.642 0.000
2.670 -1.642 0.000
2.670 -4.906 0.000
2.670 -9.699 2.532
2.670 3.345 2.532
2.670 0.000 2.532
2.670 -3.345 2.532
2.670 7.967 0.000
2.670 -7.967 0.000
```

Entry 11:
Rb3HoCu2F9 | PBE | optimized geometry

Density   4.89 g/cm³
Energy   -4.84 eV per atom
Uncorrected formation energy   -2674 meV/atom
DOS(E_F)   0.24 states/eV per atom

Cell and atoms, written as POSCAR:
```
Rb3HoCu2F9
1.0
6.097 0.000 0.000
-3.049 5.280 0.000
0.000 0.000 7.587
Rb Ho Cu F
3 1 2 9
Cartesian
0.000 0.000 0.000
0.000 3.520 5.271
3.049 1.760 2.316
0.000 0.000 3.793
0.000 3.520 1.146
3.049 1.760 6.441
-1.524 2.640 0.000
0.000 1.762 2.529
-1.522 4.399 2.529
1.526 0.881 5.058
3.049 0.000 0.000
1.524 2.640 0.000
1.522 4.399 2.529
4.571 0.881 5.058
3.048 3.518 5.058
```

Entry 12:
Ti3GeRh | PBE | optimized geometry

Density   5.16 g/cm³
ΔE to the lowest computed polymorph   0 meV/atom
Energy   -6.85 eV per atom
ΔE_f   278.0 meV/atom
DOS(E_F)   1.03 states/eV per atom

Cell and atoms, written as POSCAR:
```
Ti3GeRh
1.0
4.682 0.000 0.000
0.000 4.682 0.000
0.000 0.000 4.682
Ti Ge Rh
3 1 1
Cartesian
0.000 0.000 2.341
0.000 2.341 0.000
2.341 0.000 0.000
2.341 2.341 2.341
0.000 0.000 0.000
```

Look up the density of the first one.
3.65 g/cm³

Which formula does entry 7 have?
Ca4DyTl15

Among the records above, which one has the lowest density?
Ac2Pr2Mg15

Copy entry 3 word for word.
Ho4Cd3Tc | PBE | optimized geometry

Density   9.32 g/cm³
Energy   -4.18 eV per atom
ΔE_f   -252.6 meV/atom
DOS(E_F)   1.02 states/eV per atom

Cell and atoms, written as POSCAR:
```
Ho4Cd3Tc
1.0
3.544 0.000 0.000
0.000 3.544 0.000
0.000 0.000 15.534
Ho Cd Tc
4 3 1
Cartesian
0.000 0.000 1.598
0.000 0.000 5.737
0.000 0.000 9.797
0.000 0.000 13.936
1.772 1.772 3.721
1.772 1.772 7.767
1.772 1.772 11.813
1.772 1.772 0.000
```